# 1
# KLi2Ir

An optimized crystal structure of KLi2Ir (PBE-GGA, the Alexandria database).

Lattice parameters (Å, degrees): 6.686 6.686 6.686 90.00 90.00 90.00
Sites, in units of the cell vectors:
1 K 0.000 0.000 0.000
2 K 0.000 0.500 0.500
3 K 0.500 0.000 0.500
4 K 0.500 0.500 0.000
5 Li 0.250 0.250 0.250
6 Li 0.250 0.250 0.750
7 Li 0.250 0.750 0.250
8 Li 0.250 0.750 0.750
9 Li 0.750 0.250 0.250
10 Li 0.750 0.250 0.750
11 Li 0.750 0.750 0.250
12 Li 0.750 0.750 0.750
13 Ir 0.000 0.000 0.500
14 Ir 0.000 0.500 0.000
15 Ir 0.500 0.000 0.000
16 Ir 0.500 0.500 0.500

Its formation energy is 0.432 eV/atom. As for the density of states at the Fermi level: 1.1 states/eV/f.u. As for the energy above the lowest structure with this stoichiometry: 212.3 meV/atom. The total energy comes out at -48.23 eV/cell.

# 2
# Nd4TeRhI2

An optimized crystal structure of Nd4TeRhI2 (PBE-GGA, the Alexandria database).

Lattice parameters (Å, degrees): 8.031 4.240 8.200 90.00 106.52 90.00
Sites, in units of the cell vectors:
1 Nd 0.197 0.000 0.189
2 Nd 0.232 0.500 0.798
3 Nd 0.768 0.500 0.202
4 Nd 0.803 0.000 0.811
5 Te 0.500 0.000 0.000
6 Rh 0.000 0.500 0.000
7 I 0.000 0.000 0.500
8 I 0.500 0.500 0.500

As for the density of states at the Fermi level: 6.2 states/eV/f.u. The total energy comes out at -40.76 eV/cell.

# 3
# LiIrRh2

An optimized crystal structure of LiIrRh2 (PBE-GGA, the Alexandria database).

Lattice parameters (Å, degrees): 2.713 2.713 26.624 90.00 90.00 120.00
Sites, in units of the cell vectors:
1 Li 0.000 0.000 0.000
2 Li 0.333 0.667 0.667
3 Li 0.667 0.333 0.333
4 Ir 0.000 0.000 0.834
5 Ir 0.333 0.667 0.500
6 Ir 0.667 0.333 0.167
7 Rh 0.000 0.000 0.417
8 Rh 0.000 0.000 0.583
9 Rh 0.333 0.667 0.084
10 Rh 0.333 0.667 0.250
11 Rh 0.667 0.333 0.750
12 Rh 0.667 0.333 0.917

Its formation energy is -0.030 eV/atom. As for the density of states at the Fermi level: 4.6 states/eV/f.u. As for the energy above the lowest structure with this stoichiometry: 93.0 meV/atom. The total energy comes out at -76.79 eV/cell.

# 4
# Rb2CuSi2Se6

An optimized crystal structure of Rb2CuSi2Se6 (PBE-GGA, the Alexandria database).

Lattice parameters (Å, degrees): 8.695 8.695 8.695 49.14 49.14 49.14
Sites, in units of the cell vectors:
1 Rb 0.224 0.224 0.224
2 Rb 0.776 0.776 0.776
3 Cu 0.000 0.000 0.000
4 Si 0.407 0.407 0.407
5 Si 0.593 0.593 0.593
6 Se 0.236 0.236 0.764
7 Se 0.236 0.764 0.236
8 Se 0.236 0.764 0.764
9 Se 0.764 0.236 0.236
10 Se 0.764 0.236 0.764
11 Se 0.764 0.764 0.236

As for the density of states at the Fermi level: 7.2 states/eV/f.u. The total energy comes out at -42.76 eV/cell.

# 5
# K4AsSe

An optimized crystal structure of K4AsSe (PBE-GGA, the Alexandria database).

Lattice parameters (Å, degrees): 6.575 6.575 6.575 60.00 60.00 60.00
Sites, in units of the cell vectors:
1 K 0.124 0.124 0.124
2 K 0.124 0.124 0.627
3 K 0.124 0.627 0.124
4 K 0.627 0.124 0.124
5 As 0.500 0.500 0.500
6 Se 0.750 0.750 0.750

As for the density of states at the Fermi level: 6.0 states/eV/f.u. The total energy comes out at -11.94 eV/cell.

# 6
# Er2Mn16Cr

An optimized crystal structure of Er2Mn16Cr (PBE-GGA, the Alexandria database).

Lattice parameters (Å, degrees): 6.302 6.302 6.302 86.13 86.13 86.13
Sites, in units of the cell vectors:
1 Er 0.000 0.000 0.000
2 Er 0.292 0.292 0.292
3 Mn 0.002 0.002 0.522
4 Mn 0.002 0.522 0.002
5 Mn 0.147 0.644 0.644
6 Mn 0.288 0.288 0.769
7 Mn 0.288 0.769 0.288
8 Mn 0.370 0.646 0.922
9 Mn 0.370 0.922 0.646
10 Mn 0.522 0.002 0.002
11 Mn 0.644 0.147 0.644
12 Mn 0.644 0.644 0.147
13 Mn 0.646 0.370 0.922
14 Mn 0.646 0.922 0.370
15 Mn 0.746 0.746 0.746
16 Mn 0.769 0.288 0.288
17 Mn 0.922 0.370 0.646
18 Mn 0.922 0.646 0.370
19 Cr 0.549 0.549 0.549

Its formation energy is 0.001 eV/atom. As for the density of states at the Fermi level: 21.2 states/eV/f.u. The total energy comes out at -165.45 eV/cell.

# 7
# Li8PrMg3

An optimized crystal structure of Li8PrMg3 (PBE-GGA, the Alexandria database).

Lattice parameters (Å, degrees): 5.657 5.657 9.174 90.00 90.00 120.00
Sites, in units of the cell vectors:
1 Li 0.000 0.000 0.000
2 Li 0.000 0.000 0.492
3 Li 0.173 0.346 0.263
4 Li 0.173 0.827 0.263
5 Li 0.337 0.169 0.742
6 Li 0.654 0.827 0.263
7 Li 0.831 0.169 0.742
8 Li 0.831 0.663 0.742
9 Pr 0.667 0.333 0.066
10 Mg 0.333 0.667 0.568
11 Mg 0.333 0.667 0.927
12 Mg 0.667 0.333 0.444

Its formation energy is 0.010 eV/atom. As for the density of states at the Fermi level: 8.2 states/eV/f.u. The total energy comes out at -24.76 eV/cell.

# 8
# ZrTa2Al

An optimized crystal structure of ZrTa2Al (PBE-GGA, the Alexandria database).

Lattice parameters (Å, degrees): 9.817 2.987 5.232 90.00 99.41 90.00
Sites, in units of the cell vectors:
1 Zr 0.000 0.000 0.000
2 Zr 0.500 0.500 0.000
3 Ta 0.018 0.500 0.521
4 Ta 0.265 0.500 0.278
5 Ta 0.518 0.000 0.521
6 Ta 0.765 0.000 0.278
7 Al 0.253 0.000 0.761
8 Al 0.753 0.500 0.761

Its formation energy is -0.016 eV/atom. As for the density of states at the Fermi level: 3.8 states/eV/f.u. The total energy comes out at -72.12 eV/cell.